# Ac2HgAuO6 (PBE, relaxed)
# * ΔE_f (raw): -1574 meV/atom
# * total energy: -57.29 eV per cell
data_Ac2HgAuO6
_cell_length_a 5.800
_cell_length_b 5.800
_cell_length_c 4.967
_cell_angle_alpha 90.00
_cell_angle_beta 90.00
_cell_angle_gamma 90.00
_space_group_name_H-M_alt 'P 4 m m'
_space_group_IT_number 99
loop_
_space_group_symop_operation_xyz
'x,y,z'
'-y,x,z'
'-x,-y,z'
'y,-x,z'
'-x,y,z'
'y,x,z'
'x,-y,z'
'-y,-x,z'
loop_
_atom_site_label
_atom_site_type_symbol
_atom_site_fract_x
_atom_site_fract_y
_atom_site_fract_z
Ac1 Ac 0.000 0.500 0.000
Hg1 Hg 0.000 0.000 0.498
Au1 Au 0.500 0.500 0.640
O1 O 0.000 0.000 0.070
O2 O 0.256 0.256 0.700
O3 O 0.500 0.500 0.150

=====

# Ac4Hg2PbAu (PBE, relaxed)
# * total energy: -84.94 eV per cell
data_Ac4Hg2PbAu
_cell_length_a 5.6863
_cell_length_b 5.6863
_cell_length_c 28.2524
_cell_angle_alpha 90.00
_cell_angle_beta 90.00
_cell_angle_gamma 120.00
_space_group_name_H-M_alt 'R -3 m'
_space_group_IT_number 166
_space_group_name_Hall '-R 3 2"'
loop_
_atom_site_label
_atom_site_type_symbol
_atom_site_fract_x
_atom_site_fract_y
_atom_site_fract_z
Ac1 Ac 0.0000 0.0000 0.1196
Ac2 Ac 0.0000 0.0000 0.3685
Hg1 Hg 0.0000 0.0000 0.2477
Pb1 Pb 0.0000 0.0000 0.5000
Au1 Au 0.0000 0.0000 0.0000

=====

# AcHgPbAu (PBE, relaxed)
# * total energy: -53.90 eV per cell
data_AcHgPbAu
_cell_length_a 7.638
_cell_length_b 7.638
_cell_length_c 7.638
_cell_angle_alpha 90.00
_cell_angle_beta 90.00
_cell_angle_gamma 90.00
_space_group_name_H-M_alt 'F -4 3 m'
_space_group_IT_number 216
_space_group_name_Hall 'F -4 2 3'
loop_
_atom_site_label
_atom_site_type_symbol
_atom_site_fract_x
_atom_site_fract_y
_atom_site_fract_z
Ac1 Ac 0.000 0.000 0.000
Hg1 Hg 0.250 0.250 0.750
Pb1 Pb 0.000 0.000 0.500
Au1 Au 0.250 0.250 0.250

=====

# AcHg2Pd2Au (PBE, relaxed)
# * total energy: -39.60 eV per cell
data_AcHg2Pd2Au
_cell_length_a 5.374
_cell_length_b 5.374
_cell_length_c 11.046
_cell_angle_alpha 90.00
_cell_angle_beta 90.00
_cell_angle_gamma 90.00
_space_group_name_H-M_alt 'I 4/m m m'
_space_group_IT_number 139
_space_group_name_Hall '-I 4 2'
loop_
_atom_site_label
_atom_site_type_symbol
_atom_site_fract_x
_atom_site_fract_y
_atom_site_fract_z
Ac1 Ac 0.000 0.000 0.000
Hg1 Hg 0.000 0.500 0.250
Pd1 Pd 0.000 0.000 0.256
Au1 Au 0.000 0.000 0.500

=====

# Ac3Hg2Pd2Au4 (PBE, relaxed)
# * total energy: -43.54 eV per cell
data_Ac3Hg2Pd2Au4
_cell_length_a 4.7980
_cell_length_b 4.7980
_cell_length_c 14.7077
_cell_angle_alpha 90.00
_cell_angle_beta 90.00
_cell_angle_gamma 120.00
_space_group_name_H-M_alt 'P -3 m 1'
_space_group_IT_number 164
_space_group_name_Hall '-P 3 2"'
loop_
_atom_site_label
_atom_site_type_symbol
_atom_site_fract_x
_atom_site_fract_y
_atom_site_fract_z
Ac1 Ac 0.0000 0.0000 0.0000
Ac2 Ac 0.0000 0.0000 0.2661
Hg1 Hg 0.3333 0.6667 0.5708
Pd1 Pd 0.3333 0.6667 0.1398
Au1 Au 0.3333 0.6667 0.3724
Au2 Au 0.3333 0.6667 0.8699

=====

# Ac3HgPd6Au2 (PBE, relaxed)
# * total energy: -58.24 eV per cell
data_Ac3HgPd6Au2
_cell_length_a 5.8693
_cell_length_b 5.8693
_cell_length_c 9.2050
_cell_angle_alpha 90.00
_cell_angle_beta 90.00
_cell_angle_gamma 120.00
_space_group_name_H-M_alt 'P -3 m 1'
_space_group_IT_number 164
_space_group_name_Hall '-P 3 2"'
loop_
_atom_site_label
_atom_site_type_symbol
_atom_site_fract_x
_atom_site_fract_y
_atom_site_fract_z
Ac1 Ac 0.0000 0.0000 0.0000
Ac2 Ac 0.3333 0.6667 0.6350
Hg1 Hg 0.0000 0.0000 0.5000
Pd1 Pd 0.1756 0.3512 0.2707
Au1 Au 0.3333 0.6667 0.0107

=====

# Ac2HgPd12Au3 (PBE, relaxed)
# * total energy: -258.32 eV per cell
data_Ac2HgPd12Au3
_cell_length_a 9.3411
_cell_length_b 9.3411
_cell_length_c 13.7863
_cell_angle_alpha 90.00
_cell_angle_beta 90.00
_cell_angle_gamma 120.00
_space_group_name_H-M_alt 'R -3 m'
_space_group_IT_number 166
_space_group_name_Hall '-R 3 2"'
loop_
_atom_site_label
_atom_site_type_symbol
_atom_site_fract_x
_atom_site_fract_y
_atom_site_fract_z
Ac1 Ac 0.0000 0.0000 0.2011
Hg1 Hg 0.0000 0.0000 0.5000
Pd1 Pd 0.0079 0.5040 0.2044
Pd2 Pd 0.0265 0.5132 0.6047
Au1 Au 0.0000 0.5000 0.0000

=====

# Ac2HgPd5Au2 (PBE, relaxed)
# * total energy: -93.98 eV per cell
data_Ac2HgPd5Au2
_cell_length_a 10.105
_cell_length_b 10.105
_cell_length_c 4.169
_cell_angle_alpha 90.00
_cell_angle_beta 90.00
_cell_angle_gamma 90.00
_space_group_name_H-M_alt 'P 4/m b m'
_space_group_IT_number 127
_space_group_name_Hall '-P 4 2ab'
loop_
_atom_site_label
_atom_site_type_symbol
_atom_site_fract_x
_atom_site_fract_y
_atom_site_fract_z
Ac1 Ac 0.177 0.323 0.000
Hg1 Hg 0.000 0.000 0.000
Pd1 Pd 0.000 0.500 0.500
Pd2 Pd 0.059 0.799 0.500
Au1 Au 0.121 0.621 0.000

=====

# AcPmHgAu (PBE, relaxed)
# * offset from the most stable computed form: 33 meV per atom
# * total energy: -59.14 eV per cell
data_AcPmHgAu
_cell_length_a 7.745
_cell_length_b 7.745
_cell_length_c 7.745
_cell_angle_alpha 90.00
_cell_angle_beta 90.00
_cell_angle_gamma 90.00
_space_group_name_H-M_alt 'F -4 3 m'
_space_group_IT_number 216
_space_group_name_Hall 'F -4 2 3'
loop_
_atom_site_label
_atom_site_type_symbol
_atom_site_fract_x
_atom_site_fract_y
_atom_site_fract_z
Ac1 Ac 0.000 0.000 0.000
Pm1 Pm 0.000 0.000 0.500
Hg1 Hg 0.250 0.250 0.750
Au1 Au 0.250 0.250 0.250

=====

# AcPmHgAu (PBE, relaxed)
# * offset from the most stable computed form: 0 meV per atom
# * total energy: -14.92 eV per cell
data_AcPmHgAu
_cell_length_a 3.849
_cell_length_b 3.849
_cell_length_c 7.788
_cell_angle_alpha 90.00
_cell_angle_beta 90.00
_cell_angle_gamma 90.00
_space_group_name_H-M_alt 'P 4 m m'
_space_group_IT_number 99
loop_
_space_group_symop_operation_xyz
'x,y,z'
'-y,x,z'
'-x,-y,z'
'y,-x,z'
'-x,y,z'
'y,x,z'
'x,-y,z'
'-y,-x,z'
loop_
_atom_site_label
_atom_site_type_symbol
_atom_site_fract_x
_atom_site_fract_y
_atom_site_fract_z
Ac1 Ac 0.000 0.000 0.000
Pm1 Pm 0.000 0.000 0.476
Hg1 Hg 0.500 0.500 0.719
Au1 Au 0.500 0.500 0.265

=====

# AcPrHgAu (PBE, relaxed)
# * offset from the most stable computed form: 24 meV per atom
# * total energy: -59.27 eV per cell
data_AcPrHgAu
_cell_length_a 7.793
_cell_length_b 7.793
_cell_length_c 7.793
_cell_angle_alpha 90.00
_cell_angle_beta 90.00
_cell_angle_gamma 90.00
_space_group_name_H-M_alt 'F -4 3 m'
_space_group_IT_number 216
_space_group_name_Hall 'F -4 2 3'
loop_
_atom_site_label
_atom_site_type_symbol
_atom_site_fract_x
_atom_site_fract_y
_atom_site_fract_z
Ac1 Ac 0.000 0.000 0.000
Pr1 Pr 0.000 0.000 0.500
Hg1 Hg 0.250 0.250 0.250
Au1 Au 0.250 0.250 0.750

=====

# AcPrHgAu (PBE, relaxed)
# * offset from the most stable computed form: 0 meV per atom
# * total energy: -14.92 eV per cell
data_AcPrHgAu
_cell_length_a 3.882
_cell_length_b 3.882
_cell_length_c 7.817
_cell_angle_alpha 90.00
_cell_angle_beta 90.00
_cell_angle_gamma 90.00
_space_group_name_H-M_alt 'P 4 m m'
_space_group_IT_number 99
loop_
_space_group_symop_operation_xyz
'x,y,z'
'-y,x,z'
'-x,-y,z'
'y,-x,z'
'-x,y,z'
'y,x,z'
'x,-y,z'
'-y,-x,z'
loop_
_atom_site_label
_atom_site_type_symbol
_atom_site_fract_x
_atom_site_fract_y
_atom_site_fract_z
Ac1 Ac 0.000 0.000 0.000
Pr1 Pr 0.000 0.000 0.475
Hg1 Hg 0.500 0.500 0.722
Au1 Au 0.500 0.500 0.254

=====

# Ac2HgPtAu (PBE, relaxed)
# * total energy: -44.05 eV per cell
data_Ac2HgPtAu
_cell_length_a 8.222
_cell_length_b 4.449
_cell_length_c 8.605
_cell_angle_alpha 90.00
_cell_angle_beta 113.83
_cell_angle_gamma 90.00
_space_group_name_H-M_alt 'P 1 21/m 1'
_space_group_IT_number 11
loop_
_space_group_symop_operation_xyz
'x,y,z'
'-x,-y,-z'
'-x,y+1/2,-z'
'x,-y+1/2,z'
loop_
_atom_site_label
_atom_site_type_symbol
_atom_site_fract_x
_atom_site_fract_y
_atom_site_fract_z
Ac1 Ac 0.021 0.250 0.211
Ac2 Ac 0.368 0.750 0.633
Hg1 Hg 0.338 0.250 0.959
Pt1 Pt 0.097 0.250 0.605
Au1 Au 0.310 0.750 0.216

=====

# AcHgPtAu (PBE, relaxed)
# * total energy: -64.82 eV per cell
data_AcHgPtAu
_cell_length_a 7.314
_cell_length_b 7.314
_cell_length_c 7.314
_cell_angle_alpha 90.00
_cell_angle_beta 90.00
_cell_angle_gamma 90.00
_space_group_name_H-M_alt 'F -4 3 m'
_space_group_IT_number 216
_space_group_name_Hall 'F -4 2 3'
loop_
_atom_site_label
_atom_site_type_symbol
_atom_site_fract_x
_atom_site_fract_y
_atom_site_fract_z
Ac1 Ac 0.000 0.000 0.000
Hg1 Hg 0.000 0.000 0.500
Pt1 Pt 0.250 0.250 0.250
Au1 Au 0.250 0.250 0.750

=====

# AcHg2Pt2Au (PBE, relaxed)
# * total energy: -42.88 eV per cell
data_AcHg2Pt2Au
_cell_length_a 5.414
_cell_length_b 5.414
_cell_length_c 11.046
_cell_angle_alpha 90.00
_cell_angle_beta 90.00
_cell_angle_gamma 90.00
_space_group_name_H-M_alt 'I 4/m m m'
_space_group_IT_number 139
_space_group_name_Hall '-I 4 2'
loop_
_atom_site_label
_atom_site_type_symbol
_atom_site_fract_x
_atom_site_fract_y
_atom_site_fract_z
Ac1 Ac 0.000 0.000 0.000
Hg1 Hg 0.000 0.500 0.250
Pt1 Pt 0.000 0.000 0.257
Au1 Au 0.000 0.000 0.500

=====

# AcHgRhAu (PBE, relaxed)
# * total energy: -65.84 eV per cell
data_AcHgRhAu
_cell_length_a 7.206
_cell_length_b 7.206
_cell_length_c 7.206
_cell_angle_alpha 90.00
_cell_angle_beta 90.00
_cell_angle_gamma 90.00
_space_group_name_H-M_alt 'F -4 3 m'
_space_group_IT_number 216
_space_group_name_Hall 'F -4 2 3'
loop_
_atom_site_label
_atom_site_type_symbol
_atom_site_fract_x
_atom_site_fract_y
_atom_site_fract_z
Ac1 Ac 0.000 0.000 0.000
Hg1 Hg 0.000 0.000 0.500
Rh1 Rh 0.250 0.250 0.750
Au1 Au 0.250 0.250 0.250

=====

# Ac4HgRhAu2 (PBE, relaxed)
# * total energy: -35.85 eV per cell
data_Ac4HgRhAu2
_cell_length_a 7.726
_cell_length_b 4.379
_cell_length_c 8.267
_cell_angle_alpha 90.00
_cell_angle_beta 107.78
_cell_angle_gamma 90.00
_space_group_name_H-M_alt 'P 1 2/m 1'
_space_group_IT_number 10
loop_
_space_group_symop_operation_xyz
'x,y,z'
'-x,-y,-z'
'-x,y,-z'
'x,-y,z'
loop_
_atom_site_label
_atom_site_type_symbol
_atom_site_fract_x
_atom_site_fract_y
_atom_site_fract_z
Ac1 Ac 0.235 0.000 0.225
Ac2 Ac 0.246 0.500 0.778
Hg1 Hg 0.000 0.000 0.500
Rh1 Rh 0.000 0.500 0.000
Au1 Au 0.500 0.000 0.000
Au2 Au 0.500 0.500 0.500

=====

# Ac4HgRh2Au (PBE, relaxed)
# * total energy: -154.71 eV per cell
data_Ac4HgRh2Au
_cell_length_a 4.355
_cell_length_b 13.829
_cell_length_c 17.388
_cell_angle_alpha 90.00
_cell_angle_beta 90.00
_cell_angle_gamma 90.00
_space_group_name_H-M_alt 'C m c m'
_space_group_IT_number 63
_space_group_name_Hall '-C 2c 2'
loop_
_atom_site_label
_atom_site_type_symbol
_atom_site_fract_x
_atom_site_fract_y
_atom_site_fract_z
Ac1 Ac 0.000 0.000 0.000
Ac2 Ac 0.000 0.276 0.090
Ac3 Ac 0.000 0.455 0.750
Hg1 Hg 0.000 0.146 0.750
Rh1 Rh 0.000 0.372 0.564
Au1 Au 0.000 0.201 0.250

=====

# AcHgAuS (PBE, relaxed)
# * ΔE_f (raw): -910 meV/atom
# * total energy: -61.82 eV per cell
data_AcHgAuS
_cell_length_a 7.416
_cell_length_b 7.416
_cell_length_c 7.416
_cell_angle_alpha 90.00
_cell_angle_beta 90.00
_cell_angle_gamma 90.00
_space_group_name_H-M_alt 'F -4 3 m'
_space_group_IT_number 216
_space_group_name_Hall 'F -4 2 3'
loop_
_atom_site_label
_atom_site_type_symbol
_atom_site_fract_x
_atom_site_fract_y
_atom_site_fract_z
Ac1 Ac 0.000 0.000 0.000
Hg1 Hg 0.000 0.000 0.500
Au1 Au 0.250 0.250 0.750
S1 S 0.250 0.250 0.250

=====

# AcScHgAu (PBE, relaxed)
# * total energy: -63.77 eV per cell
data_AcScHgAu
_cell_length_a 7.528
_cell_length_b 7.528
_cell_length_c 7.528
_cell_angle_alpha 90.00
_cell_angle_beta 90.00
_cell_angle_gamma 90.00
_space_group_name_H-M_alt 'F -4 3 m'
_space_group_IT_number 216
_space_group_name_Hall 'F -4 2 3'
loop_
_atom_site_label
_atom_site_type_symbol
_atom_site_fract_x
_atom_site_fract_y
_atom_site_fract_z
Ac1 Ac 0.000 0.000 0.000
Sc1 Sc 0.000 0.000 0.500
Hg1 Hg 0.250 0.250 0.250
Au1 Au 0.250 0.250 0.750

=====

# AcSi2HgAu5 (PBE, relaxed)
# * ΔE_f (raw): -241 meV/atom
# * total energy: -33.82 eV per cell
data_AcSi2HgAu5
_cell_length_a 4.680
_cell_length_b 4.680
_cell_length_c 9.645
_cell_angle_alpha 90.00
_cell_angle_beta 90.00
_cell_angle_gamma 90.00
_space_group_name_H-M_alt 'P 4/m m m'
_space_group_IT_number 123
_space_group_name_Hall '-P 4 2'
loop_
_atom_site_label
_atom_site_type_symbol
_atom_site_fract_x
_atom_site_fract_y
_atom_site_fract_z
Ac1 Ac 0.000 0.000 0.000
Si1 Si 0.500 0.500 0.246
Hg1 Hg 0.000 0.000 0.500
Au1 Au 0.000 0.500 0.314
Au2 Au 0.500 0.500 0.000

=====

# Ac2Si3HgAu4 (PBE, relaxed)
# * ΔE_f (raw): -536 meV/atom
# * total energy: -43.26 eV per cell
data_Ac2Si3HgAu4
_cell_length_a 4.511
_cell_length_b 4.511
_cell_length_c 10.855
_cell_angle_alpha 90.00
_cell_angle_beta 90.00
_cell_angle_gamma 90.00
_space_group_name_H-M_alt 'P -4 m 2'
_space_group_IT_number 115
loop_
_space_group_symop_operation_xyz
'x,y,z'
'y,-x,-z'
'-x,-y,z'
'-y,x,-z'
'-x,y,z'
'-y,-x,-z'
'x,-y,z'
'y,x,-z'
loop_
_atom_site_label
_atom_site_type_symbol
_atom_site_fract_x
_atom_site_fract_y
_atom_site_fract_z
Ac1 Ac 0.000 0.500 0.241
Si1 Si 0.000 0.500 0.877
Si2 Si 0.500 0.500 0.500
Hg1 Hg 0.000 0.000 0.500
Au1 Au 0.000 0.000 0.000
Au2 Au 0.000 0.500 0.651
Au3 Au 0.500 0.500 0.000

=====

# Ac2Si4HgAu3 (PBE, relaxed)
# * ΔE_f (raw): -504 meV/atom
# * total energy: -45.08 eV per cell
data_Ac2Si4HgAu3
_cell_length_a 4.563
_cell_length_b 4.563
_cell_length_c 10.322
_cell_angle_alpha 90.00
_cell_angle_beta 90.00
_cell_angle_gamma 90.00
_space_group_name_H-M_alt 'P -4 m 2'
_space_group_IT_number 115
loop_
_space_group_symop_operation_xyz
'x,y,z'
'y,-x,-z'
'-x,-y,z'
'-y,x,-z'
'-x,y,z'
'-y,-x,-z'
'x,-y,z'
'y,x,-z'
loop_
_atom_site_label
_atom_site_type_symbol
_atom_site_fract_x
_atom_site_fract_y
_atom_site_fract_z
Ac1 Ac 0.000 0.500 0.243
Si1 Si 0.000 0.000 0.000
Si2 Si 0.000 0.500 0.638
Si3 Si 0.500 0.500 0.000
Hg1 Hg 0.000 0.000 0.500
Au1 Au 0.000 0.500 0.881
Au2 Au 0.500 0.500 0.500

=====

# Ac2Sn3HgAu4 (PBE, relaxed)
# * total energy: -39.58 eV per cell
data_Ac2Sn3HgAu4
_cell_length_a 4.729
_cell_length_b 4.729
_cell_length_c 11.483
_cell_angle_alpha 90.00
_cell_angle_beta 90.00
_cell_angle_gamma 90.00
_space_group_name_H-M_alt 'P -4 m 2'
_space_group_IT_number 115
loop_
_space_group_symop_operation_xyz
'x,y,z'
'y,-x,-z'
'-x,-y,z'
'-y,x,-z'
'-x,y,z'
'-y,-x,-z'
'x,-y,z'
'y,x,-z'
loop_
_atom_site_label
_atom_site_type_symbol
_atom_site_fract_x
_atom_site_fract_y
_atom_site_fract_z
Ac1 Ac 0.000 0.500 0.241
Sn1 Sn 0.000 0.500 0.872
Sn2 Sn 0.500 0.500 0.500
Hg1 Hg 0.000 0.000 0.500
Au1 Au 0.000 0.000 0.000
Au2 Au 0.000 0.500 0.639
Au3 Au 0.500 0.500 0.000